K2MgZn | PBE | optimized geometry

Geometry as POSCAR:
```
K2MgZn
1.0
7.104 0.021 0.074
3.135 6.375 -0.074
-4.375 -4.391 3.473
K Mg Zn
2 1 1
direct
0.037 0.037 0.000 K
0.734 0.234 0.500 K
0.441 0.441 0.000 Mg
0.288 0.788 0.500 Zn
```

Computed properties:
Formation energy from the elements in eV/f.u.: 0.587
Energy relative to the lowest polymorph listed for this composition in eV/atom: 0.0341

=====

SrTh2RhN4 | PBE | optimized geometry

Geometry as POSCAR:
```
SrTh2RhN4
1.0
-2.244 -2.969 -0.241
5.622 -1.726 -2.217
3.459 -3.552 11.538
Sr Th Rh N
2 4 2 8
direct
0.079 0.157 0.750 Sr
0.921 0.843 0.250 Sr
0.366 0.733 0.555 Th
0.634 0.267 0.055 Th
0.634 0.267 0.445 Th
0.366 0.733 0.945 Th
0.815 0.631 0.750 Rh
0.185 0.369 0.250 Rh
0.254 0.507 0.101 N
0.746 0.493 0.601 N
0.746 0.493 0.899 N
0.254 0.507 0.399 N
0.000 0.000 0.500 N
0.000 0.000 0.000 N
0.406 0.812 0.750 N
0.594 0.188 0.250 N
```

Computed properties:
Formation energy without anion corrections in eV per atom: -0.96

=====

Al4Cu3Ni | PBE | optimized geometry

Geometry as POSCAR:
```
Al4Cu3Ni
1.0
-0.712 -2.551 -1.236
2.454 0.083 -1.586
5.892 -5.911 8.806
Ni Al Cu
1 4 3
direct
0.500 0.500 0.000 Ni
0.000 0.000 0.883 Al
0.000 0.000 0.117 Al
0.000 0.000 0.373 Al
0.000 0.000 0.627 Al
0.500 0.500 0.247 Cu
0.500 0.500 0.500 Cu
0.500 0.500 0.753 Cu
```

Computed properties:
Formation energy from the elements in eV/f.u.: -2.331

=====

Nb2SnSe2S4 | PBE | optimized geometry

Geometry as POSCAR:
```
Nb2SnSe2S4
1.0
-2.055 -1.204 2.533
3.166 -1.360 -0.464
7.960 14.052 13.133
Nb Sn Se S
2 1 2 4
direct
0.000 0.000 0.975 Nb
0.667 0.333 0.654 Nb
0.000 0.000 0.329 Sn
0.667 0.333 0.417 Se
0.667 0.333 0.241 Se
0.000 0.000 0.581 S
0.667 0.333 0.049 S
0.667 0.333 0.902 S
0.000 0.000 0.728 S
```

Computed properties:
Formation energy without anion corrections in eV per atom: -0.64

=====

TmHfMgZr | PBE | optimized geometry

Geometry as POSCAR:
```
TmHfMgZr
1.0
3.219 0.000 0.262
0.000 3.229 0.000
-0.757 0.000 9.292
Tm Hf Mg Zr
1 1 1 1
direct
0.928 0.500 0.401 Tm
0.428 0.000 0.150 Hf
0.425 0.000 0.670 Mg
0.927 0.500 0.918 Zr
```

Computed properties:
Formation energy from the elements in eV/f.u.: 0.089

=====

NdNp2S4 | PBE | optimized geometry

Geometry as POSCAR:
```
NdNp2S4
1.0
-0.640 2.970 2.444
3.731 -4.549 3.394
10.970 5.844 -4.228
Nd Np S
2 4 8
direct
0.620 0.239 0.750 Nd
0.380 0.761 0.250 Nd
0.133 0.265 0.434 Np
0.867 0.735 0.934 Np
0.133 0.265 0.066 Np
0.867 0.735 0.566 Np
0.772 0.544 0.123 S
0.772 0.544 0.377 S
0.228 0.456 0.877 S
0.228 0.456 0.623 S
0.961 0.923 0.750 S
0.039 0.077 0.250 S
0.500 0.000 0.000 S
0.500 0.000 0.500 S
```

Computed properties:
Formation energy without anion corrections in eV per atom: -1.58

=====

La3Cd2N | PBE | optimized geometry

Geometry as POSCAR:
```
La3Cd2N
1.0
4.928 0.000 1.569
0.000 7.345 0.001
-0.046 -0.001 8.670
La Cd N
6 4 2
direct
0.500 0.250 0.000 La
0.500 0.750 0.000 La
0.110 0.000 0.781 La
0.890 0.500 0.219 La
0.110 0.500 0.781 La
0.890 0.000 0.219 La
0.701 0.750 0.597 Cd
0.702 0.250 0.597 Cd
0.298 0.750 0.403 Cd
0.299 0.250 0.403 Cd
0.000 0.750 0.000 N
0.000 0.250 0.000 N
```

Computed properties:
Formation energy without anion corrections in eV per atom: -0.66

=====

KBaCeI6 | PBE | optimized geometry

Geometry as POSCAR:
```
KBaCeI6
1.0
-7.997 1.951 -2.425
2.185 -8.180 1.395
-4.062 1.391 14.515
K Ba Ce I
2 2 2 12
direct
0.000 0.000 0.000 K
0.000 0.000 0.500 K
0.333 0.667 0.250 Ba
0.667 0.333 0.750 Ba
0.667 0.333 0.250 Ce
0.333 0.667 0.750 Ce
0.657 0.629 0.129 I
0.972 0.343 0.129 I
0.343 0.972 0.629 I
0.028 0.657 0.871 I
0.371 0.343 0.371 I
0.972 0.629 0.371 I
0.629 0.972 0.871 I
0.657 0.028 0.371 I
0.028 0.371 0.629 I
0.371 0.028 0.129 I
0.629 0.657 0.629 I
0.343 0.371 0.871 I
```

Computed properties:
Formation energy without anion corrections in eV per atom: -1.52